Compound: BeNbGe3
Source: Alexandria via LeMat-Bulk
Functional: GGA-PBEsol
Structure: relaxed

For the final energy, the calculation gives -4.990 eV per atom. Its total magnetization is 0.0 μB per formula unit. The calculation puts the formation energy at 938 meV per atom.

Lattice parameters (Å, degrees): 4.956 4.956 4.956 90.00 90.00 90.00
Positions (direct):
Ge  0.000  0.500  0.000
Ge  0.500  0.000  0.000
Ge  0.000  0.000  0.500
Nb  0.000  0.000  0.000
Be  0.500  0.500  0.500